1.
Compound: Ba4GeN4
Source: the Alexandria database
Functional: PBEsol
Structure: relaxed

Summary:
The value obtained for the total energy is -5.86 eV per atom.

The structure in CIF format:
```
data_Ba4GeN4
_symmetry_space_group_name_H-M 'P -1'
_symmetry_Int_Tables_number 2
_cell_length_a 6.898
_cell_length_b 6.899
_cell_length_c 9.085
_cell_angle_alpha 74.05
_cell_angle_beta 83.70
_cell_angle_gamma 63.54
loop_
_symmetry_equiv_pos_as_xyz
'x,y,z'
'-x,-y,-z'
loop_
_atom_site_label
_atom_site_type_symbol
_atom_site_fract_x
_atom_site_fract_y
_atom_site_fract_z
Ba1 Ba 0.169 0.388 0.366
Ba2 Ba 0.239 0.924 0.132
Ba3 Ba 0.274 0.480 0.942
Ba4 Ba 0.298 0.769 0.544
Ge1 Ge 0.234 0.137 0.755
N1 N 0.027 0.156 0.619
N2 N 0.038 0.270 0.910
N3 N 0.337 0.355 0.652
N4 N 0.452 0.841 0.835
```

=====

2.
Compound: YTlCr4
Source: the Alexandria database
Functional: PBEsol
Structure: relaxed

Summary:
The value obtained for the total energy is -7.98 eV per atom. As for the density of states at the Fermi level: 1.46 states/eV/atom.

The structure in CIF format:
```
data_YTlCr4
_symmetry_space_group_name_H-M 'F -4 3 m'
_symmetry_Int_Tables_number 216
_symmetry_space_group_name_Hall 'F -4 2 3'
_cell_length_a 7.137
_cell_length_b 7.137
_cell_length_c 7.137
_cell_angle_alpha 90.00
_cell_angle_beta 90.00
_cell_angle_gamma 90.00
loop_
_atom_site_label
_atom_site_type_symbol
_atom_site_fract_x
_atom_site_fract_y
_atom_site_fract_z
Y1 Y 0.000 0.000 0.000
Tl1 Tl 0.250 0.250 0.250
Cr1 Cr 0.122 0.122 0.622
```